[1]
VASP calculation (PBE-GGA) on a geometry-optimized BeReSi2 structure.

Unit cell a=4.593 b=4.593 c=4.593 alpha=139.47 beta=127.94 gamma=67.98
Positions (direct):
Re: 0.255 0.755 0.500
Si: 0.995 0.995 0.000
Si: 0.736 0.236 0.500
Be: 0.514 0.514 0.000

Computed properties:
As for the total magnetization: 0.0 μB/f.u. As for the space group: Imm2. For the total energy, the calculation gives -6.72 eV per atom. For the formation energy (no corrections), the calculation gives 0.2 eV per formula unit.

***

[2]
VASP calculation (PBE-GGA) on a geometry-optimized Dy3Y6Er2Th structure.

Unit cell a=6.160 b=6.160 c=11.792 alpha=95.00 beta=95.00 gamma=119.97
Positions (direct):
Dy: 0.167 0.833 0.500
Dy: 0.833 0.167 0.500
Dy: 0.500 0.500 0.500
Y: 0.916 0.586 0.751
Y: 0.753 0.753 0.249
Y: 0.084 0.414 0.249
Y: 0.586 0.916 0.751
Y: 0.247 0.247 0.751
Y: 0.414 0.084 0.249
Er: 0.333 0.667 0.000
Er: 0.667 0.333 0.000
Th: 0.000 0.000 0.000

Computed properties:
As for the total magnetization: 0.0 μB/f.u. As for the space group: C2/m. The formation energy from the elements is 25.5 meV/atom. For the total energy, the calculation gives -5.74 eV per atom.